[1]
# CuPRuS2 (PBE-GGA, relaxed)
# - Formation energy without anion corrections: 0.760 eV/atom
# - Final energy: -23.234 eV/cell
# - Crystal system: tetragonal
# - Total magnetization: 0.0 Bohr magnetons per cell
data_CuPRuS2
_space_group_name_H-M_alt 'P 4/m m m'
_space_group_IT_number 123
_space_group_name_Hall '-P 4 2'
_cell_length_a 4.719
_cell_length_b 4.719
_cell_length_c 4.419
_cell_angle_alpha 90.00
_cell_angle_beta 90.00
_cell_angle_gamma 90.00
loop_
_atom_site_label
_atom_site_type_symbol
_atom_site_fract_x
_atom_site_fract_y
_atom_site_fract_z
_atom_site_occupancy
Cu1 Cu 0.000 0.000 0.000 1
P1 P 0.500 0.500 0.000 1
Ru1 Ru 0.500 0.500 0.500 1
S1 S 0.000 0.500 0.500 1



[2]
# YBe3Ni3 (PBE-GGA, relaxed)
# - Final energy: -69.498 eV/cell
# - Crystal system: cubic
# - Formation energy from the elements: 34 meV/atom
# - Total magnetization: 0.0 Bohr magnetons per cell
data_YBe3Ni3
_space_group_name_H-M_alt 'P m -3 n'
_space_group_IT_number 223
_space_group_name_Hall '-P 4n 2 3'
_cell_length_a 5.779
_cell_length_b 5.779
_cell_length_c 5.779
_cell_angle_alpha 90.00
_cell_angle_beta 90.00
_cell_angle_gamma 90.00
loop_
_atom_site_label
_atom_site_type_symbol
_atom_site_fract_x
_atom_site_fract_y
_atom_site_fract_z
_atom_site_occupancy
Y1 Y 0.000 0.000 0.000 1
Be1 Be 0.000 0.250 0.500 1
Ni1 Ni 0.000 0.500 0.250 1



[3]
# HgIr2Os (PBE-GGA, relaxed)
# - Final energy: -27.569 eV/cell
# - Crystal system: orthorhombic
# - Formation energy from the elements: 421 meV/atom
# - Total magnetization: 0.0 Bohr magnetons per cell
data_HgIr2Os
_space_group_name_H-M_alt 'P m m m'
_space_group_IT_number 47
_space_group_name_Hall '-P 2 2'
_cell_length_a 2.805
_cell_length_b 3.765
_cell_length_c 6.119
_cell_angle_alpha 90.00
_cell_angle_beta 90.00
_cell_angle_gamma 90.00
loop_
_atom_site_label
_atom_site_type_symbol
_atom_site_fract_x
_atom_site_fract_y
_atom_site_fract_z
_atom_site_occupancy
Hg1 Hg 0.000 0.000 0.000 1
Ir1 Ir 0.500 0.500 0.284 1
Os1 Os 0.000 0.000 0.500 1



[4]
# TaNb2TcH (PBE-GGA, relaxed)
# - Final energy: -45.657 eV/cell
# - Crystal system: tetragonal
# - Total magnetization: 0.0 Bohr magnetons per cell
data_TaNb2TcH
_space_group_name_H-M_alt 'P 4/m m m'
_space_group_IT_number 123
_space_group_name_Hall '-P 4 2'
_cell_length_a 3.900
_cell_length_b 3.900
_cell_length_c 4.768
_cell_angle_alpha 90.00
_cell_angle_beta 90.00
_cell_angle_gamma 90.00
loop_
_atom_site_label
_atom_site_type_symbol
_atom_site_fract_x
_atom_site_fract_y
_atom_site_fract_z
_atom_site_occupancy
Ta1 Ta 0.000 0.000 0.000 1
Nb1 Nb 0.000 0.500 0.500 1
Tc1 Tc 0.500 0.500 0.000 1
H1 H 0.500 0.500 0.500 1



[5]
# Pr3OsBr (PBE-GGA, relaxed)
# - Formation energy without anion corrections: -0.475 eV/atom
# - Final energy: -59.231 eV/cell
# - Crystal system: orthorhombic
# - Total magnetization: 0.0 Bohr magnetons per cell
data_Pr3OsBr
_space_group_name_H-M_alt 'P m m n'
_space_group_IT_number 59
_cell_length_a 3.942
_cell_length_b 9.674
_cell_length_c 8.463
_cell_angle_alpha 90.00
_cell_angle_beta 90.00
_cell_angle_gamma 90.00
loop_
_space_group_symop_operation_xyz
'x,y,z'
'-x,-y,-z'
'-x+1/2,-y+1/2,z'
'x+1/2,y+1/2,-z'
'x+1/2,-y,-z'
'-x+1/2,y,z'
'-x,y+1/2,-z'
'x,-y+1/2,z'
loop_
_atom_site_label
_atom_site_type_symbol
_atom_site_fract_x
_atom_site_fract_y
_atom_site_fract_z
_atom_site_occupancy
Pr1 Pr 0.250 0.074 0.156 1
Pr2 Pr 0.250 0.250 0.741 1
Os1 Os 0.250 0.750 0.026 1
Br1 Br 0.250 0.750 0.567 1



[6]
# AlSi2Pt (PBE-GGA, relaxed)
# - Formation energy without anion corrections: -0.124 eV/atom
# - Final energy: -42.249 eV/cell
# - Crystal system: monoclinic
# - Total magnetization: 0.0 Bohr magnetons per cell
data_AlSi2Pt
_space_group_name_H-M_alt 'C 1 m 1'
_space_group_IT_number 8
_space_group_name_Hall 'C -2y'
_cell_length_a 8.319
_cell_length_b 3.270
_cell_length_c 4.481
_cell_angle_alpha 90.00
_cell_angle_beta 97.88
_cell_angle_gamma 90.00
loop_
_atom_site_label
_atom_site_type_symbol
_atom_site_fract_x
_atom_site_fract_y
_atom_site_fract_z
_atom_site_occupancy
Al1 Al 0.000 0.000 0.000 1
Si1 Si 0.015 0.500 0.501 1
Si2 Si 0.260 0.500 0.264 1
Pt1 Pt 0.254 0.000 0.744 1



[7]
# Sr2Li5Zn (PBE-GGA, relaxed)
# - Final energy: -28.036 eV/cell
# - Crystal system: tetragonal
# - Formation energy from the elements: 24 meV/atom
# - Total magnetization: 0.0 Bohr magnetons per cell
data_Sr2Li5Zn
_space_group_name_H-M_alt 'I 4 m m'
_space_group_IT_number 107
_space_group_name_Hall 'I 4 -2'
_cell_length_a 6.239
_cell_length_b 6.239
_cell_length_c 12.370
_cell_angle_alpha 90.00
_cell_angle_beta 90.00
_cell_angle_gamma 90.00
loop_
_atom_site_label
_atom_site_type_symbol
_atom_site_fract_x
_atom_site_fract_y
_atom_site_fract_z
_atom_site_occupancy
Sr1 Sr 0.000 0.500 0.000 1
Li1 Li 0.000 0.000 0.116 1
Li2 Li 0.241 0.241 0.759 1
Zn1 Zn 0.000 0.000 0.901 1



[8]
# CeNdRh2 (PBE-GGA, relaxed)
# - Final energy: -83.830 eV/cell
# - Crystal system: trigonal
# - Formation energy from the elements: -635 meV/atom
# - Total magnetization: 0.0 Bohr magnetons per cell
data_CeNdRh2
_space_group_name_H-M_alt 'R -3 m'
_space_group_IT_number 166
_space_group_name_Hall '-R 3 2"'
_cell_length_a 4.0396
_cell_length_b 4.0396
_cell_length_c 20.0398
_cell_angle_alpha 90.00
_cell_angle_beta 90.00
_cell_angle_gamma 120.00
loop_
_atom_site_label
_atom_site_type_symbol
_atom_site_fract_x
_atom_site_fract_y
_atom_site_fract_z
_atom_site_occupancy
Ce1 Ce 0.0000 0.0000 0.0000 1
Nd1 Nd 0.0000 0.0000 0.5000 1
Rh1 Rh 0.0000 0.0000 0.2576 1



[9]
# NaPuSeBr (PBE-GGA, relaxed)
# - Formation energy without anion corrections: -1.255 eV/atom
# - Final energy: -154.962 eV/cell
# - Crystal system: trigonal
# - Total magnetization: 33.9 Bohr magnetons per cell
data_NaPuSeBr
_space_group_name_H-M_alt 'R -3 m'
_space_group_IT_number 166
_space_group_name_Hall '-R 3 2"'
_cell_length_a 4.2147
_cell_length_b 4.2147
_cell_length_c 51.2618
_cell_angle_alpha 90.00
_cell_angle_beta 90.00
_cell_angle_gamma 120.00
loop_
_atom_site_label
_atom_site_type_symbol
_atom_site_fract_x
_atom_site_fract_y
_atom_site_fract_z
_atom_site_occupancy
Na1 Na 0.0000 0.0000 0.2000 1
Pu1 Pu 0.0000 0.0000 0.4022 1
Se1 Se 0.0000 0.0000 0.1003 1
Br1 Br 0.0000 0.0000 0.2985 1



[10]
# BaAcMg2Sn2 (PBE-GGA, relaxed)
# - Final energy: -20.325 eV/cell
# - Crystal system: trigonal
# - Formation energy from the elements: -517 meV/atom
# - Total magnetization: 0.0 Bohr magnetons per cell
data_BaAcMg2Sn2
_space_group_name_H-M_alt 'P -3 m 1'
_space_group_IT_number 164
_space_group_name_Hall '-P 3 2"'
_cell_length_a 5.0767
_cell_length_b 5.0767
_cell_length_c 8.7381
_cell_angle_alpha 90.00
_cell_angle_beta 90.00
_cell_angle_gamma 120.00
loop_
_atom_site_label
_atom_site_type_symbol
_atom_site_fract_x
_atom_site_fract_y
_atom_site_fract_z
_atom_site_occupancy
Ba1 Ba 0.0000 0.0000 0.0000 1
Ac1 Ac 0.0000 0.0000 0.5000 1
Mg1 Mg 0.3333 0.6667 0.7212 1
Sn1 Sn 0.3333 0.6667 0.2673 1



[11]
# Mg3InPb4 (PBE-GGA, relaxed)
# - Final energy: -22.371 eV/cell
# - Crystal system: orthorhombic
# - Formation energy from the elements: -2 meV/atom
# - Total magnetization: 0.0 Bohr magnetons per cell
data_Mg3InPb4
_space_group_name_H-M_alt 'P m m 2'
_space_group_IT_number 25
_space_group_name_Hall 'P 2 -2'
_cell_length_a 3.627
_cell_length_b 4.995
_cell_length_c 12.161
_cell_angle_alpha 90.00
_cell_angle_beta 90.00
_cell_angle_gamma 90.00
loop_
_atom_site_label
_atom_site_type_symbol
_atom_site_fract_x
_atom_site_fract_y
_atom_site_fract_z
_atom_site_occupancy
Mg1 Mg 0.000 0.000 0.000 1
Mg2 Mg 0.000 0.500 0.155 1
Mg3 Mg 0.500 0.000 0.497 1
In1 In 0.500 0.500 0.650 1
Pb1 Pb 0.000 0.000 0.742 1
Pb2 Pb 0.000 0.500 0.408 1
Pb3 Pb 0.500 0.000 0.228 1
Pb4 Pb 0.500 0.500 0.930 1



[12]
# PaSn2Rh (PBE-GGA, relaxed)
# - Final energy: -26.139 eV/cell
# - Crystal system: tetragonal
# - Formation energy from the elements: -321 meV/atom
# - Total magnetization: 0.0 Bohr magnetons per cell
data_PaSn2Rh
_space_group_name_H-M_alt 'P 4/m m m'
_space_group_IT_number 123
_space_group_name_Hall '-P 4 2'
_cell_length_a 4.374
_cell_length_b 4.374
_cell_length_c 4.604
_cell_angle_alpha 90.00
_cell_angle_beta 90.00
_cell_angle_gamma 90.00
loop_
_atom_site_label
_atom_site_type_symbol
_atom_site_fract_x
_atom_site_fract_y
_atom_site_fract_z
_atom_site_occupancy
Pa1 Pa 0.000 0.000 0.000 1
Sn1 Sn 0.000 0.500 0.500 1
Rh1 Rh 0.500 0.500 0.000 1



[13]
# TaP2Rh (PBE-GGA, relaxed)
# - Final energy: -123.523 eV/cell
# - Crystal system: tetragonal
# - Formation energy from the elements: -214 meV/atom
# - Total magnetization: 0.0 Bohr magnetons per cell
data_TaP2Rh
_space_group_name_H-M_alt 'I -4 2 d'
_space_group_IT_number 122
_space_group_name_Hall 'I -4 2bw'
_cell_length_a 5.515
_cell_length_b 5.515
_cell_length_c 10.428
_cell_angle_alpha 90.00
_cell_angle_beta 90.00
_cell_angle_gamma 90.00
loop_
_atom_site_label
_atom_site_type_symbol
_atom_site_fract_x
_atom_site_fract_y
_atom_site_fract_z
_atom_site_occupancy
Ta1 Ta 0.000 0.000 0.000 1
P1 P 0.230 0.250 0.625 1
Rh1 Rh 0.000 0.000 0.500 1